# 1
# SrCrMo2 meta-GGA SCAN PBEsol geometry
data_SrCrMo2
_space_group_name_H-M_alt 'P 1'
_space_group_IT_number 1
_space_group_name_Hall 'P 1'
_cell_length_a 4.545
_cell_length_b 4.545
_cell_length_c 4.545
_cell_angle_alpha 60.00
_cell_angle_beta 60.00
_cell_angle_gamma 60.00
loop_
_atom_site_label
_atom_site_fract_x
_atom_site_fract_y
_atom_site_fract_z
_atom_site_occupancy
Sr1 0.000 0.000 0.000 1
Cr1 0.500 0.500 0.500 1
Mo1 0.250 0.250 0.250 1
Mo2 0.750 0.750 0.750 1
# **Energy relative to the lowest polymorph listed for this composition**: 146 meV per atom



# 2
Density functional theory data (meta-GGA SCAN) for a crystal of YNiRu relaxed with PBEsol.

```
data_YNiRu
_space_group_name_H-M_alt 'P 1'
_space_group_IT_number 1
_space_group_name_Hall 'P 1'
_cell_length_a 4.062
_cell_length_b 4.062
_cell_length_c 3.703
_cell_angle_alpha 90.00
_cell_angle_beta 90.00
_cell_angle_gamma 120.00
loop_
_atom_site_label
_atom_site_fract_x
_atom_site_fract_y
_atom_site_fract_z
_atom_site_occupancy
Y1 0.000 0.000 0.000 1
Ni1 0.667 0.333 0.500 1
Ru1 0.333 0.667 0.500 1
```



# 3
Density functional theory data (meta-GGA SCAN) for a crystal of Pt7Rh relaxed with PBEsol.

```
data_Pt7Rh
_space_group_name_H-M_alt 'P 1'
_space_group_IT_number 1
_space_group_name_Hall 'P 1'
_cell_length_a 5.510
_cell_length_b 5.510
_cell_length_c 5.510
_cell_angle_alpha 60.00
_cell_angle_beta 60.00
_cell_angle_gamma 60.00
loop_
_atom_site_label
_atom_site_fract_x
_atom_site_fract_y
_atom_site_fract_z
_atom_site_occupancy
Pt1 0.000 0.000 0.000 1
Pt2 0.000 0.000 0.500 1
Pt3 0.000 0.500 0.000 1
Pt4 0.000 0.500 0.500 1
Pt5 0.500 0.000 0.000 1
Pt6 0.500 0.000 0.500 1
Pt7 0.500 0.500 0.000 1
Rh1 0.500 0.500 0.500 1
```



no.,calculated formation energy (eV/atom),VASP energy (eV per cell),total magnetic moment (Bohr magnetons per cell)
1,1.275,-105.33,0.0
2,-0.219,-79.50,0.9
3,0.026,-524.92,0.0